PrSc2Cl: relaxed, GGA-PBE.

space group	R-3m, No. 166
DOS(E_F)	1.7571	states/eV per atom
crystal system	trigonal

Geometry as CIF:
```
data_PrSc2Cl
_chemical_formula_sum 'Pr1 Sc2 Cl1'
_cell_length_a 3.330
_cell_length_b 3.330
_cell_length_c 10.575
_cell_angle_alpha 80.94
_cell_angle_beta 80.94
_cell_angle_gamma 60.00
_symmetry_space_group_name_H-M 'P 1'
_symmetry_Int_Tables_number 1
_symmetry_space_group_name_Hall 'P 1'
loop_
_atom_site_label
_atom_site_type_symbol
_atom_site_fract_x
_atom_site_fract_y
_atom_site_fract_z
Sc1 Sc 0.103 0.103 0.692
Sc2 Sc 0.897 0.897 0.308
Cl1 Cl 0.500 0.500 0.500
Pr1 Pr 0.000 0.000 0.000
```

=====

Pr2ScCl: relaxed, GGA-PBE.

space group	R-3m, No. 166
DOS(E_F)	1.0047	states/eV per atom
crystal system	trigonal

Geometry as CIF:
```
data_Pr2ScCl
_chemical_formula_sum 'Pr2 Sc1 Cl1'
_cell_length_a 3.648
_cell_length_b 3.648
_cell_length_c 10.339
_cell_angle_alpha 79.84
_cell_angle_beta 79.84
_cell_angle_gamma 60.00
_symmetry_space_group_name_H-M 'P 1'
_symmetry_Int_Tables_number 1
_symmetry_space_group_name_Hall 'P 1'
loop_
_atom_site_label
_atom_site_type_symbol
_atom_site_fract_x
_atom_site_fract_y
_atom_site_fract_z
Pr1 Pr 0.743 0.743 0.771
Pr2 Pr 0.257 0.257 0.229
Sc1 Sc 0.500 0.500 0.500
Cl1 Cl 0.000 0.000 0.000
```

=====

PrScCl: relaxed, GGA-PBE.

space group	P3m1, No. 156
DOS(E_F)	1.2974	states/eV per atom
crystal system	trigonal
E above lowest polymorph	0.00	kcal/mol of atoms

Geometry as CIF:
```
data_PrScCl
_chemical_formula_sum 'Pr1 Sc1 Cl1'
_cell_length_a 7.099
_cell_length_b 3.560
_cell_length_c 3.560
_cell_angle_alpha 120.00
_cell_angle_beta 90.00
_cell_angle_gamma 90.00
_symmetry_space_group_name_H-M 'P 1'
_symmetry_Int_Tables_number 1
_symmetry_space_group_name_Hall 'P 1'
loop_
_atom_site_label
_atom_site_type_symbol
_atom_site_fract_x
_atom_site_fract_y
_atom_site_fract_z
Pr1 Pr 0.673 0.667 0.333
Cl1 Cl 0.032 0.000 0.000
Sc1 Sc 0.295 0.333 0.667
```

=====

| no. | spin magnetization (Bohr magnetons per cell) | ΔE_f (raw) (meV/atom) | final energy (eV per atom) |
| --- | --- | --- | --- |
| 1 | 0.01 | -317 | -5.140 |
| 2 | 0.74 | -620 | -5.055 |
| 3 | 0.33 | -853 | -5.172 |